Pm5AlSi2: relaxed, PBE.

Summary:
Raw formation energy = -391 kJ/mol of formula units
Total magnetic moment = 0.00 μB/f.u.
E above lowest polymorph = 0 meV/atom

abc: 7.798 7.798 9.044
angles: 115.54 115.54 90.00
Positions (direct):
Pm 0.537 0.681 0.717
Pm 0.819 0.963 0.283
Pm 0.000 0.000 0.000
Pm 0.500 0.500 0.000
Pm 0.181 0.037 0.717
Pm 0.681 0.181 0.717
Pm 0.037 0.537 0.717
Pm 0.319 0.819 0.283
Pm 0.963 0.463 0.283
Pm 0.463 0.319 0.283
Al 0.750 0.750 0.500
Al 0.250 0.250 0.500
Si 0.116 0.384 0.000
Si 0.616 0.116 0.000
Si 0.384 0.884 0.000
Si 0.884 0.616 0.000